[1]
# PBEsol CsKNbCo2, optimized geometry
# ΔE_f = 2678 meV per atom
# Calculated volume = 24.332 Å³/atom
data_CsKNbCo2
_space_group_name_H-M_alt 'P 4/m m m'
_space_group_IT_number 123
_space_group_name_Hall '-P 4 2'
_cell_length_a 4.711
_cell_length_b 4.711
_cell_length_c 5.481
_cell_angle_alpha 90.00
_cell_angle_beta 90.00
_cell_angle_gamma 90.00
loop_
_atom_site_label
_atom_site_type_symbol
_atom_site_fract_x
_atom_site_fract_y
_atom_site_fract_z
Cs1 Cs 0.000 0.000 0.000
K1 K 0.000 0.000 0.500
Nb1 Nb 0.500 0.500 0.000
Co1 Co 0.000 0.500 0.500

---

[2]
# PBEsol NaFe3Te, optimized geometry
# Calculated volume = 21.341 Å³/atom
# Distance to the lowest polymorph of the same formula = 0.0 meV/atom
# Raw formation energy = 1.115 eV/atom
data_NaFe3Te
_space_group_name_H-M_alt 'P m -3 m'
_space_group_IT_number 221
_space_group_name_Hall '-P 4 2 3'
_cell_length_a 4.743
_cell_length_b 4.743
_cell_length_c 4.743
_cell_angle_alpha 90.00
_cell_angle_beta 90.00
_cell_angle_gamma 90.00
loop_
_atom_site_label
_atom_site_type_symbol
_atom_site_fract_x
_atom_site_fract_y
_atom_site_fract_z
Na1 Na 0.000 0.000 0.000
Fe1 Fe 0.000 0.500 0.500
Te1 Te 0.500 0.500 0.500

---

[3]
# PBEsol K2TaRh, optimized geometry
# ΔE_f = 982 meV per atom
# Calculated volume = 21.339 Å³/atom
# Distance to the lowest polymorph of the same formula = 422.1 meV/atom
data_K2TaRh
_space_group_name_H-M_alt 'I 4/m m m'
_space_group_IT_number 139
_space_group_name_Hall '-I 4 2'
_cell_length_a 3.794
_cell_length_b 3.794
_cell_length_c 11.857
_cell_angle_alpha 90.00
_cell_angle_beta 90.00
_cell_angle_gamma 90.00
loop_
_atom_site_label
_atom_site_type_symbol
_atom_site_fract_x
_atom_site_fract_y
_atom_site_fract_z
K1 K 0.000 0.500 0.250
Ta1 Ta 0.000 0.000 0.000
Rh1 Rh 0.000 0.000 0.500

---

[4]
# PBEsol KHgPt2, optimized geometry
# ΔE_f = 26 meV per atom
# Calculated volume = 23.101 Å³/atom
data_KHgPt2
_space_group_name_H-M_alt 'P m m 2'
_space_group_IT_number 25
_cell_length_a 2.774
_cell_length_b 4.343
_cell_length_c 7.670
_cell_angle_alpha 90.00
_cell_angle_beta 90.00
_cell_angle_gamma 90.00
loop_
_space_group_symop_operation_xyz
'x,y,z'
'-x,-y,z'
'-x,y,z'
'x,-y,z'
loop_
_atom_site_label
_atom_site_type_symbol
_atom_site_fract_x
_atom_site_fract_y
_atom_site_fract_z
K1 K 0.000 0.000 0.000
Hg1 Hg 0.500 0.500 0.689
Pt1 Pt 0.000 0.000 0.390
Pt2 Pt 0.500 0.500 0.329

---

[5]
# PBEsol TiAlAu2, optimized geometry
# ΔE_f = -435 meV per atom
# Calculated volume = 16.099 Å³/atom
data_TiAlAu2
_space_group_name_H-M_alt 'P 4/m m m'
_space_group_IT_number 123
_space_group_name_Hall '-P 4 2'
_cell_length_a 3.038
_cell_length_b 3.038
_cell_length_c 6.976
_cell_angle_alpha 90.00
_cell_angle_beta 90.00
_cell_angle_gamma 90.00
loop_
_atom_site_label
_atom_site_type_symbol
_atom_site_fract_x
_atom_site_fract_y
_atom_site_fract_z
Ti1 Ti 0.000 0.000 0.000
Al1 Al 0.000 0.000 0.500
Au1 Au 0.500 0.500 0.262

---

[6]
# PBEsol Na3NiPCO7, optimized geometry
# Calculated volume = 11.356 Å³/atom
# Distance to the lowest polymorph of the same formula = 0.0 meV/atom
# Raw formation energy = -1.790 eV/atom
data_Na3NiPCO7
_space_group_name_H-M_alt 'P 1 21/m 1'
_space_group_IT_number 11
_cell_length_a 5.109
_cell_length_b 6.550
_cell_length_c 8.824
_cell_angle_alpha 90.00
_cell_angle_beta 91.01
_cell_angle_gamma 90.00
loop_
_space_group_symop_operation_xyz
'x,y,z'
'-x,-y,-z'
'-x,y+1/2,-z'
'x,-y+1/2,z'
loop_
_atom_site_label
_atom_site_type_symbol
_atom_site_fract_x
_atom_site_fract_y
_atom_site_fract_z
Na1 Na 0.232 0.250 0.082
Na2 Na 0.252 0.505 0.728
Ni1 Ni 0.223 0.750 0.346
P1 P 0.288 0.250 0.416
C1 C 0.276 0.750 0.064
O1 O 0.049 0.750 0.128
O2 O 0.140 0.250 0.566
O3 O 0.218 0.062 0.315
O4 O 0.295 0.750 0.919
O5 O 0.412 0.750 0.549
O6 O 0.482 0.750 0.152

---

[7]
# PBEsol Ba3NbCr, optimized geometry
# ΔE_f = 1431 meV per atom
# Calculated volume = 41.412 Å³/atom
data_Ba3NbCr
_space_group_name_H-M_alt 'P m -3 m'
_space_group_IT_number 221
_space_group_name_Hall '-P 4 2 3'
_cell_length_a 5.916
_cell_length_b 5.916
_cell_length_c 5.916
_cell_angle_alpha 90.00
_cell_angle_beta 90.00
_cell_angle_gamma 90.00
loop_
_atom_site_label
_atom_site_type_symbol
_atom_site_fract_x
_atom_site_fract_y
_atom_site_fract_z
Ba1 Ba 0.000 0.000 0.500
Nb1 Nb 0.500 0.500 0.500
Cr1 Cr 0.000 0.000 0.000

---

[8]
# PBEsol LaBe2BiS, optimized geometry
# Calculated volume = 27.658 Å³/atom
# Raw formation energy = 1.043 eV/atom
data_LaBe2BiS
_space_group_name_H-M_alt 'P 4/m m m'
_space_group_IT_number 123
_space_group_name_Hall '-P 4 2'
_cell_length_a 5.153
_cell_length_b 5.153
_cell_length_c 5.207
_cell_angle_alpha 90.00
_cell_angle_beta 90.00
_cell_angle_gamma 90.00
loop_
_atom_site_label
_atom_site_type_symbol
_atom_site_fract_x
_atom_site_fract_y
_atom_site_fract_z
La1 La 0.000 0.000 0.000
Be1 Be 0.000 0.500 0.000
Bi1 Bi 0.500 0.500 0.500
S1 S 0.000 0.000 0.500

---

[9]
# PBEsol BeTl2W, optimized geometry
# ΔE_f = 705 meV per atom
# Calculated volume = 19.122 Å³/atom
# Distance to the lowest polymorph of the same formula = 0.0 meV/atom
data_BeTl2W
_space_group_name_H-M_alt 'P 4 m m'
_space_group_IT_number 99
_cell_length_a 3.229
_cell_length_b 3.229
_cell_length_c 7.334
_cell_angle_alpha 90.00
_cell_angle_beta 90.00
_cell_angle_gamma 90.00
loop_
_space_group_symop_operation_xyz
'x,y,z'
'-y,x,z'
'-x,-y,z'
'y,-x,z'
'-x,y,z'
'y,x,z'
'x,-y,z'
'-y,-x,z'
loop_
_atom_site_label
_atom_site_type_symbol
_atom_site_fract_x
_atom_site_fract_y
_atom_site_fract_z
Be1 Be 0.000 0.000 0.000
Tl1 Tl 0.000 0.000 0.635
Tl2 Tl 0.500 0.500 0.300
W1 W 0.500 0.500 0.911

---

[10]
# PBEsol AlHOsF2, optimized geometry
# DFT total energy = -4.701 eV per atom
# Calculated volume = 15.324 Å³/atom
data_AlHOsF2
_space_group_name_H-M_alt 'P 4/m m m'
_space_group_IT_number 123
_space_group_name_Hall '-P 4 2'
_cell_length_a 3.918
_cell_length_b 3.918
_cell_length_c 4.990
_cell_angle_alpha 90.00
_cell_angle_beta 90.00
_cell_angle_gamma 90.00
loop_
_atom_site_label
_atom_site_type_symbol
_atom_site_fract_x
_atom_site_fract_y
_atom_site_fract_z
Al1 Al 0.000 0.000 0.000
H1 H 0.500 0.500 0.000
Os1 Os 0.000 0.000 0.500
F1 F 0.000 0.500 0.500

---

[11]
# PBEsol ZrTi2CdN, optimized geometry
# Calculated volume = 15.396 Å³/atom
# Raw formation energy = -0.907 eV/atom
data_ZrTi2CdN
_space_group_name_H-M_alt 'P 4/m m m'
_space_group_IT_number 123
_space_group_name_Hall '-P 4 2'
_cell_length_a 4.159
_cell_length_b 4.159
_cell_length_c 4.450
_cell_angle_alpha 90.00
_cell_angle_beta 90.00
_cell_angle_gamma 90.00
loop_
_atom_site_label
_atom_site_type_symbol
_atom_site_fract_x
_atom_site_fract_y
_atom_site_fract_z
Zr1 Zr 0.000 0.000 0.000
Ti1 Ti 0.000 0.500 0.500
Cd1 Cd 0.500 0.500 0.000
N1 N 0.000 0.000 0.500

---

[12]
# PBEsol TcSO2F, optimized geometry
# Calculated volume = 12.515 Å³/atom
# Raw formation energy = 0.295 eV/atom
data_TcSO2F
_space_group_name_H-M_alt 'P 4/m m m'
_space_group_IT_number 123
_space_group_name_Hall '-P 4 2'
_cell_length_a 3.595
_cell_length_b 3.595
_cell_length_c 4.841
_cell_angle_alpha 90.00
_cell_angle_beta 90.00
_cell_angle_gamma 90.00
loop_
_atom_site_label
_atom_site_type_symbol
_atom_site_fract_x
_atom_site_fract_y
_atom_site_fract_z
Tc1 Tc 0.000 0.000 0.000
S1 S 0.500 0.500 0.500
O1 O 0.000 0.500 0.500
F1 F 0.500 0.500 0.000